! ScCdSe2 | the Alexandria database | PBEsol | relaxed; values from VASP
&SYSTEM
  ibrav = 0, nat = 4, ntyp = 3
/
ATOMIC_SPECIES
Cd 112.41 Cd.upf
Sc 44.96 Sc.upf
Se 78.96 Se.upf
CELL_PARAMETERS angstrom
-2.112 3.418 -0.714
-2.249 0.338 -3.389
-7.021 -1.473 2.054
ATOMIC_POSITIONS crystal
Cd 0.505 0.505 0.485
Sc 0.747 0.747 0.760
Se 0.221 0.221 0.337
Se 0.027 0.027 0.918
! Formation energy from raw total energies ... -0.73 eV/atom



! ScCdSe2 | the Alexandria database | PBEsol | relaxed; values from VASP
&SYSTEM
  ibrav = 0, nat = 4, ntyp = 3
/
ATOMIC_SPECIES
Se 78.96 Se.upf
Cd 112.41 Cd.upf
Sc 44.96 Sc.upf
CELL_PARAMETERS angstrom
3.802 0.006 0.021
1.895 3.296 0.021
1.865 1.081 7.043
ATOMIC_POSITIONS crystal
Se 0.258 0.258 0.726
Se 0.742 0.742 0.274
Cd 0.500 0.500 0.000
Sc 0.000 0.000 0.500
! Formation energy from raw total energies ... -1.05 eV/atom



! ScCdSe2 | the Alexandria database | PBEsol | relaxed; values from VASP
&SYSTEM
  ibrav = 0, nat = 4, ntyp = 3
/
ATOMIC_SPECIES
Se 78.96 Se.upf
Cd 112.41 Cd.upf
Sc 44.96 Sc.upf
CELL_PARAMETERS angstrom
-3.723 -0.369 0.875
0.741 -3.344 1.741
2.369 4.599 3.585
ATOMIC_POSITIONS crystal
Se 0.750 0.250 0.500
Se 0.000 0.000 0.000
Cd 0.500 0.500 0.000
Sc 0.250 0.750 0.500
! Formation energy from raw total energies ... -0.78 eV/atom



! ScCdSe2 | the Alexandria database | PBEsol | relaxed; values from VASP
&SYSTEM
  ibrav = 0, nat = 4, ntyp = 3
/
ATOMIC_SPECIES
Se 78.96 Se.upf
Cd 112.41 Cd.upf
Sc 44.96 Sc.upf
CELL_PARAMETERS angstrom
-2.496 2.373 1.829
0.546 -1.981 3.315
4.278 3.453 1.359
ATOMIC_POSITIONS crystal
Se 0.500 0.500 0.376
Se 0.000 0.000 0.875
Cd 0.000 0.000 0.374
Sc 0.500 0.500 0.876
! Formation energy from raw total energies ... -1.03 eV/atom



! ScCdSi2 | the Alexandria database | PBEsol | relaxed; values from VASP
&SYSTEM
  ibrav = 0, nat = 4, ntyp = 3
/
ATOMIC_SPECIES
Cd 112.41 Cd.upf
Si 28.09 Si.upf
Sc 44.96 Sc.upf
CELL_PARAMETERS angstrom
2.842 0.000 0.000
0.000 4.577 0.000
0.000 0.000 5.298
ATOMIC_POSITIONS crystal
Cd 0.000 0.000 0.503
Si 0.000 0.000 0.011
Si 0.000 0.500 0.760
Sc 0.500 0.500 0.225
! Formation energy from raw total energies ... -0.18 eV/atom



! ScCdSi2 | the Alexandria database | PBEsol | relaxed; values from VASP
&SYSTEM
  ibrav = 0, nat = 8, ntyp = 3
/
ATOMIC_SPECIES
Si 28.09 Si.upf
Cd 112.41 Cd.upf
Sc 44.96 Sc.upf
CELL_PARAMETERS angstrom
5.737 0.000 0.000
2.868 5.145 0.000
2.868 0.000 5.145
ATOMIC_POSITIONS crystal
Si 0.375 0.518 0.982
Si 0.875 0.482 0.018
Si 0.643 0.982 0.482
Si 0.107 0.018 0.518
Cd 0.750 0.500 0.500
Cd 0.000 0.000 0.000
Sc 0.500 0.000 0.000
Sc 0.250 0.500 0.500
! Formation energy from raw total energies ... 0.07 eV/atom



! ScCdSi2 | the Alexandria database | PBEsol | relaxed; values from VASP
&SYSTEM
  ibrav = 0, nat = 4, ntyp = 3
/
ATOMIC_SPECIES
Sc 44.96 Sc.upf
Si 28.09 Si.upf
Cd 112.41 Cd.upf
CELL_PARAMETERS angstrom
3.592 0.000 0.000
0.000 3.592 0.000
0.000 0.000 5.486
ATOMIC_POSITIONS crystal
Sc 0.500 0.500 0.774
Si 0.500 0.500 0.248
Si 0.000 0.000 0.995
Cd 0.000 0.000 0.482
! Formation energy from raw total energies ... -0.11 eV/atom



! ScCdSi2 | the Alexandria database | PBEsol | relaxed; values from VASP
&SYSTEM
  ibrav = 0, nat = 4, ntyp = 3
/
ATOMIC_SPECIES
Si 28.09 Si.upf
Sc 44.96 Sc.upf
Cd 112.41 Cd.upf
CELL_PARAMETERS angstrom
-0.410 -1.090 -2.948
2.962 -3.602 0.920
-4.082 -2.044 1.324
ATOMIC_POSITIONS crystal
Si 0.000 0.500 0.000
Si 0.000 0.000 0.500
Sc 0.500 0.500 0.500
Cd 0.500 0.000 0.000
! Formation energy from raw total energies ... -0.14 eV/atom



! Sc2CdSi | the Alexandria database | PBEsol | relaxed; values from VASP
&SYSTEM
  ibrav = 0, nat = 4, ntyp = 3
/
ATOMIC_SPECIES
Sc 44.96 Sc.upf
Si 28.09 Si.upf
Cd 112.41 Cd.upf
CELL_PARAMETERS angstrom
-2.847 0.944 -0.807
-0.187 -2.747 -2.554
-2.569 -3.952 4.438
ATOMIC_POSITIONS crystal
Sc 0.000 0.000 0.772
Sc 0.000 0.000 0.228
Si 0.500 0.500 0.000
Cd 0.500 0.500 0.500
! Formation energy from raw total energies ... -0.51 eV/atom



! Sc2CdSi | the Alexandria database | PBEsol | relaxed; values from VASP
&SYSTEM
  ibrav = 0, nat = 4, ntyp = 3
/
ATOMIC_SPECIES
Sc 44.96 Sc.upf
Si 28.09 Si.upf
Cd 112.41 Cd.upf
CELL_PARAMETERS angstrom
3.172 0.035 0.000
-0.371 3.150 0.000
0.000 0.000 8.044
ATOMIC_POSITIONS crystal
Sc 0.000 0.000 0.009
Sc 0.500 0.500 0.715
Si 0.000 0.000 0.501
Cd 0.500 0.500 0.275
! Formation energy from raw total energies ... -0.14 eV/atom



! ScCd2Sn2 | the Alexandria database | PBEsol | relaxed; values from VASP
&SYSTEM
  ibrav = 0, nat = 5, ntyp = 3
/
ATOMIC_SPECIES
Cd 112.41 Cd.upf
Sn 118.71 Sn.upf
Sc 44.96 Sc.upf
CELL_PARAMETERS angstrom
4.292 0.000 0.000
0.000 4.292 0.000
-2.146 -2.146 6.797
ATOMIC_POSITIONS crystal
Cd 0.596 0.596 0.193
Cd 0.404 0.404 0.807
Sn 0.250 0.750 0.500
Sn 0.750 0.250 0.500
Sc 0.000 0.000 0.000
! Calculated formation energy ... 0.102 eV/atom



! Sr2ScCd | the Alexandria database | PBEsol | relaxed; values from VASP
&SYSTEM
  ibrav = 0, nat = 4, ntyp = 3
/
ATOMIC_SPECIES
Cd 112.41 Cd.upf
Sc 44.96 Sc.upf
Sr 87.62 Sr.upf
CELL_PARAMETERS angstrom
-2.892 -2.409 0.214
1.399 -1.938 -2.916
4.895 -5.353 5.906
ATOMIC_POSITIONS crystal
Cd 0.500 0.500 0.000
Sc 0.500 0.500 0.500
Sr 0.000 0.000 0.775
Sr 0.000 0.000 0.225
! Calculated formation energy ... 0.076 eV/atom



! Sr2ScCd | the Alexandria database | PBEsol | relaxed; values from VASP
&SYSTEM
  ibrav = 0, nat = 4, ntyp = 3
/
ATOMIC_SPECIES
Sc 44.96 Sc.upf
Sr 87.62 Sr.upf
Cd 112.41 Cd.upf
CELL_PARAMETERS angstrom
3.777 0.000 0.000
0.000 3.777 0.000
0.000 0.000 9.575
ATOMIC_POSITIONS crystal
Sc 0.500 0.500 0.684
Sr 0.000 0.000 0.957
Sr 0.500 0.500 0.312
Cd 0.000 0.000 0.547
! Calculated formation energy ... -0.033 eV/atom



! SrScCd2 | the Alexandria database | PBEsol | relaxed; values from VASP
&SYSTEM
  ibrav = 0, nat = 4, ntyp = 3
/
ATOMIC_SPECIES
Sc 44.96 Sc.upf
Cd 112.41 Cd.upf
Sr 87.62 Sr.upf
CELL_PARAMETERS angstrom
3.593 0.000 0.000
0.000 5.264 0.000
0.000 0.000 5.365
ATOMIC_POSITIONS crystal
Sc 0.500 0.000 0.613
Cd 0.000 0.500 0.655
Cd 0.000 0.000 0.082
Sr 0.500 0.500 0.151
! Calculated formation energy ... -0.203 eV/atom



! SrSc3Cd | the Alexandria database | PBEsol | relaxed; values from VASP
&SYSTEM
  ibrav = 0, nat = 5, ntyp = 3
/
ATOMIC_SPECIES
Cd 112.41 Cd.upf
Sc 44.96 Sc.upf
Sr 87.62 Sr.upf
CELL_PARAMETERS angstrom
5.383 0.000 0.000
0.000 5.383 0.000
0.000 0.000 5.383
ATOMIC_POSITIONS crystal
Cd 0.000 0.000 0.000
Sc 0.500 0.000 0.000
Sc 0.000 0.500 0.000
Sc 0.000 0.000 0.500
Sr 0.500 0.500 0.500
! Calculated formation energy ... 0.376 eV/atom



! SrScCd | the Alexandria database | PBEsol | relaxed; values from VASP
&SYSTEM
  ibrav = 0, nat = 3, ntyp = 3
/
ATOMIC_SPECIES
Cd 112.41 Cd.upf
Sr 87.62 Sr.upf
Sc 44.96 Sc.upf
CELL_PARAMETERS angstrom
3.887 0.000 0.000
0.000 5.137 0.000
0.000 -2.569 4.449
ATOMIC_POSITIONS crystal
Cd 0.835 0.000 0.000
Sr 0.333 0.667 0.333
Sc 0.832 0.333 0.667
! Calculated formation energy ... 0.055 eV/atom



! SrScCd | the Alexandria database | PBEsol | relaxed; values from VASP
&SYSTEM
  ibrav = 0, nat = 3, ntyp = 3
/
ATOMIC_SPECIES
Cd 112.41 Cd.upf
Sr 87.62 Sr.upf
Sc 44.96 Sc.upf
CELL_PARAMETERS angstrom
-1.144 -0.088 -4.906
0.402 -4.294 -2.604
-4.147 -2.388 -1.577
ATOMIC_POSITIONS crystal
Cd 0.500 0.500 0.500
Sr 0.000 0.000 0.000
Sc 0.250 0.250 0.250
! Calculated formation energy ... 0.461 eV/atom



! SrScCd2 | the Alexandria database | PBEsol | relaxed; values from VASP
&SYSTEM
  ibrav = 0, nat = 4, ntyp = 3
/
ATOMIC_SPECIES
Cd 112.41 Cd.upf
Sc 44.96 Sc.upf
Sr 87.62 Sr.upf
CELL_PARAMETERS angstrom
3.659 0.000 0.000
0.000 3.659 0.000
0.000 0.000 7.619
ATOMIC_POSITIONS crystal
Cd 0.000 0.000 0.705
Cd 0.000 0.000 0.295
Sc 0.500 0.500 0.500
Sr 0.500 0.500 0.000
! Calculated formation energy ... -0.291 eV/atom



! ScTaCd2 | the Alexandria database | PBEsol | relaxed; values from VASP
&SYSTEM
  ibrav = 0, nat = 4, ntyp = 3
/
ATOMIC_SPECIES
Cd 112.41 Cd.upf
Ta 180.95 Ta.upf
Sc 44.96 Sc.upf
CELL_PARAMETERS angstrom
-0.369 -2.507 1.574
2.205 0.825 1.831
-5.708 4.021 5.064
ATOMIC_POSITIONS crystal
Cd 0.000 0.000 0.255
Cd 0.000 0.000 0.745
Ta 0.500 0.500 0.500
Sc 0.500 0.500 0.000
! Calculated formation energy ... 0.035 eV/atom



! ScTaCd | the Alexandria database | PBEsol | relaxed; values from VASP
&SYSTEM
  ibrav = 0, nat = 3, ntyp = 3
/
ATOMIC_SPECIES
Cd 112.41 Cd.upf
Ta 180.95 Ta.upf
Sc 44.96 Sc.upf
CELL_PARAMETERS angstrom
2.902 0.027 0.000
-0.029 2.902 0.000
-1.436 -1.465 6.934
ATOMIC_POSITIONS crystal
Cd 0.003 0.003 0.006
Ta 0.670 0.670 0.340
Sc 0.327 0.327 0.654
! Calculated formation energy ... 0.006 eV/atom